(1)
This record from Alexandria via LeMat-Bulk describes a geometry-optimized Al2PW structure. The functional is PBE-GGA.

Values from the calculation:
As for the calculated total energy: -6.264 eV/atom. Its formation enthalpy at 0 K is 0.198 eV per atom. The value obtained for the density of states at the Fermi level is 2.4 states/eV/f.u.

abc: 3.319 4.178 4.237
angles: 90.00 90.00 90.00
Atoms (fractional coordinates):
Al 0.000 0.000 0.000
Al 0.500 0.500 0.000
P 0.000 0.500 0.500
W 0.500 0.000 0.500

***

(2)
This record from Alexandria via LeMat-Bulk describes a geometry-optimized CoOsSe2 structure. The functional is PBE-GGA.

Values from the calculation:
As for the calculated total energy: -5.970 eV/atom. Its uncorrected formation energy is 356.6 meV per atom. The relative energy among the computed polymorphs comes out at 409 meV per atom. The value obtained for the density of states at the Fermi level is 2.7 states/eV/f.u.

abc: 3.154 3.154 22.970
angles: 90.00 90.00 120.00
Atoms (fractional coordinates):
Co 0.000 0.000 0.000
Co 0.333 0.667 0.667
Co 0.667 0.333 0.333
Os 0.000 0.000 0.500
Os 0.333 0.667 0.167
Os 0.667 0.333 0.833
Se 0.000 0.000 0.397
Se 0.000 0.000 0.603
Se 0.333 0.667 0.064
Se 0.333 0.667 0.270
Se 0.667 0.333 0.730
Se 0.667 0.333 0.936

***

(3)
This record from Alexandria via LeMat-Bulk describes a geometry-optimized Ba2Mn3 structure. The functional is PBE-GGA.

Values from the calculation:
As for the calculated total energy: -5.746 eV/atom. Its formation enthalpy at 0 K is 0.525 eV per atom. The value obtained for the density of states at the Fermi level is 7.7 states/eV/f.u.

abc: 4.490 4.490 9.565
angles: 90.00 90.00 120.00
Atoms (fractional coordinates):
Ba 0.333 0.667 0.214
Ba 0.667 0.333 0.786
Mn 0.000 0.000 0.500
Mn 0.333 0.667 0.547
Mn 0.667 0.333 0.453

***

(4)
This record from Alexandria via LeMat-Bulk describes a geometry-optimized CsPuSnTe3 structure. The functional is PBE-GGA.

Values from the calculation:
As for the calculated total energy: -5.605 eV/atom. Its uncorrected formation energy is -836.5 meV per atom. The value obtained for the density of states at the Fermi level is 12.7 states/eV/f.u.

abc: 9.925 4.511 12.211
angles: 90.00 110.60 90.00
Atoms (fractional coordinates):
Cs 0.227 0.250 0.270
Cs 0.773 0.750 0.730
Pu 0.362 0.750 0.844
Pu 0.638 0.250 0.156
Sn 0.128 0.250 0.560
Sn 0.872 0.750 0.440
Te 0.124 0.250 0.795
Te 0.337 0.750 0.578
Te 0.409 0.750 0.108
Te 0.591 0.250 0.892
Te 0.663 0.250 0.422
Te 0.876 0.750 0.205

***

(5)
This record from Alexandria via LeMat-Bulk describes a geometry-optimized Ba4Zn2Ag5 structure. The functional is PBE-GGA.

Values from the calculation:
As for the calculated total energy: -2.444 eV/atom. Its formation enthalpy at 0 K is -0.217 eV per atom. The value obtained for the density of states at the Fermi level is 7.0 states/eV/f.u.

abc: 8.241 4.488 9.441
angles: 90.00 93.76 90.00
Atoms (fractional coordinates):
Ba 0.224 0.000 0.354
Ba 0.270 0.000 0.863
Ba 0.730 0.000 0.137
Ba 0.776 0.000 0.646
Zn 0.435 0.500 0.620
Zn 0.565 0.500 0.380
Ag 0.000 0.500 0.000
Ag 0.109 0.500 0.620
Ag 0.397 0.500 0.123
Ag 0.603 0.500 0.877
Ag 0.891 0.500 0.380

***

(6)
This record from Alexandria via LeMat-Bulk describes a geometry-optimized Pu2ZnCo3Ge4 structure. The functional is PBE-GGA.

Values from the calculation:
As for the calculated total energy: -7.323 eV/atom. Its formation enthalpy at 0 K is -0.350 eV per atom. The value obtained for the density of states at the Fermi level is 25.6 states/eV/f.u.

abc: 4.107 4.107 9.838
angles: 90.00 90.00 90.00
Atoms (fractional coordinates):
Pu 0.000 0.500 0.245
Pu 0.500 0.000 0.755
Zn 0.000 0.000 0.500
Co 0.000 0.500 0.879
Co 0.500 0.000 0.121
Co 0.500 0.500 0.500
Ge 0.000 0.000 0.000
Ge 0.000 0.500 0.644
Ge 0.500 0.000 0.356
Ge 0.500 0.500 0.000

***

(7)
This record from Alexandria via LeMat-Bulk describes a geometry-optimized MnTe4Au3 structure. The functional is PBE-GGA.

Values from the calculation:
As for the calculated total energy: -3.998 eV/atom. Its uncorrected formation energy is -51.7 meV per atom. The value obtained for the density of states at the Fermi level is 6.4 states/eV/f.u.

abc: 6.113 6.113 6.113
angles: 90.00 90.00 90.00
Atoms (fractional coordinates):
Mn 0.000 0.000 0.000
Te 0.270 0.270 0.270
Te 0.270 0.730 0.730
Te 0.730 0.270 0.730
Te 0.730 0.730 0.270
Au 0.000 0.000 0.500
Au 0.000 0.500 0.000
Au 0.500 0.000 0.000

***

(8)
This record from Alexandria via LeMat-Bulk describes a geometry-optimized Tb2Rh17 structure. The functional is PBE-GGA.

Values from the calculation:
As for the calculated total energy: -7.203 eV/atom. Its formation enthalpy at 0 K is -0.138 eV per atom. The value obtained for the density of states at the Fermi level is 32.2 states/eV/f.u.

abc: 6.783 6.783 6.783
angles: 82.90 82.90 82.90
Atoms (fractional coordinates):
Tb 0.163 0.163 0.163
Tb 0.837 0.837 0.837
Rh 0.000 0.500 0.500
Rh 0.149 0.149 0.654
Rh 0.149 0.654 0.149
Rh 0.202 0.500 0.798
Rh 0.202 0.798 0.500
Rh 0.346 0.851 0.851
Rh 0.399 0.399 0.399
Rh 0.500 0.000 0.500
Rh 0.500 0.202 0.798
Rh 0.500 0.500 0.000
Rh 0.500 0.798 0.202
Rh 0.601 0.601 0.601
Rh 0.654 0.149 0.149
Rh 0.798 0.202 0.500
Rh 0.798 0.500 0.202
Rh 0.851 0.346 0.851
Rh 0.851 0.851 0.346

***

| no. | total magnetization (Bohr magnetons per cell) |
| --- | --- |
| 1 | 0.0 |
| 2 | 0.0 |
| 3 | 10.3 |
| 4 | 10.0 |
| 5 | 0.0 |
| 6 | 9.0 |
| 7 | 3.6 |
| 8 | 0.0 |